Record 1
Ho2ZrUAs4: relaxed, PBE.

Lattice parameters (Å, degrees): 6.958 4.020 7.015 90.00 109.09 90.00
Element x y z (fractional)
1 Ho 0.000 0.000 0.000
2 Ho 0.500 0.500 0.000
3 Zr 0.000 0.500 0.500
4 U 0.500 0.000 0.500
5 As 0.243 0.000 0.740
6 As 0.246 0.500 0.254
7 As 0.754 0.500 0.746
8 As 0.757 0.000 0.260

Calculated values
uncorrected energy = -7.166 eV/atom
symmetry = P2/m (10)
calculated formation energy = -1.22 eV/atom
density of states at the Fermi level = 7.22 states/eV/cell

=====

Record 2
RuPtSe2: relaxed, PBE.

Lattice parameters (Å, degrees): 6.472 6.472 6.472 153.26 144.05 45.36
Element x y z (fractional)
1 Ru 0.000 0.000 0.000
2 Pt 0.211 0.711 0.500
3 Se 0.560 0.560 0.000
4 Se 0.831 0.331 0.500

Calculated values
uncorrected energy = -5.395 eV/atom
energy relative to the elements, uncorrected = 177 meV per atom
symmetry = Imm2 (44)
density of states at the Fermi level = 3.21 states/eV/cell

=====

Record 3
MnPd2Pb: relaxed, PBE.

Lattice parameters (Å, degrees): 4.372 4.372 3.700 90.00 90.00 90.00
Element x y z (fractional)
1 Mn 0.000 0.000 0.000
2 Pd 0.000 0.500 0.500
3 Pd 0.500 0.000 0.500
4 Pb 0.500 0.500 0.000

Calculated values
uncorrected energy = -5.922 eV/atom
symmetry = P4/mmm (123)
calculated formation energy = -0.11 eV/atom
density of states at the Fermi level = 2.35 states/eV/cell

=====

Record 4
Cs6SBr: relaxed, PBE.

Lattice parameters (Å, degrees): 9.494 9.494 8.906 98.38 98.38 123.89
Element x y z (fractional)
1 Cs 0.087 0.370 0.236
2 Cs 0.240 0.240 0.768
3 Cs 0.370 0.087 0.236
4 Cs 0.630 0.913 0.764
5 Cs 0.760 0.760 0.232
6 Cs 0.913 0.630 0.764
7 S 0.000 0.000 0.000
8 Br 0.500 0.500 0.500

Calculated values
uncorrected energy = -2.157 eV/atom
energy relative to the elements, uncorrected = -792 meV per atom
symmetry = C2/m (12)
density of states at the Fermi level = 4.49 states/eV/cell